(1)
Pm2Nd4Y5 after structural relaxation. Source: Alexandria, functional PBE.

Unit cell a=19.7533 b=5.8969 c=6.4285 alpha=90.00 beta=94.55 gamma=90.00
Space group C2/m (No. 12)
Asymmetric unit:
Pm: 0.0978 0.0000 0.0419 x4
Nd: 0.0350 0.5000 0.7689 x4
Nd: 0.1930 0.0000 0.5709 x4
Y: 0.0000 0.0000 0.5000 x2
Y: 0.1313 0.5000 0.3534 x4
Y: 0.2147 0.5000 0.8918 x4

Computed properties:
Total magnetization, μB/f.u.: 0.0
ΔE_f, eV/f.u.: 1.08
ΔE to the lowest computed polymorph, eV/atom: 0.000
Fermi-level density of states, states/eV/cell: 42.5



(2)
AlCrP after structural relaxation. Source: Alexandria, functional PBE.

Unit cell a=3.1569 b=4.4774 c=11.7093 alpha=90.00 beta=90.00 gamma=90.00
Space group Fmm2 (No. 42)
Asymmetric unit:
Al: 0.0000 0.0000 0.0000 x4
Cr: 0.0000 0.0000 0.6701 x4
P: 0.0000 0.0000 0.3087 x4

Computed properties:
Total magnetization, μB/f.u.: 0.7
ΔE_f, eV/f.u.: 0.39
ΔE to the lowest computed polymorph, eV/atom: 0.525
Fermi-level density of states, states/eV/cell: 11.8



> Which formula does entry 2 have?

AlCrP



> Which of these has the lowest ΔE_f?

AlCrP



> Look up the ΔE to the lowest computed polymorph of the first one.

0.000 eV/atom



> Among the records above, which one has the highest Fermi-level density of states?

Pm2Nd4Y5